(1)
Mg2CuH6Os | GGA-PBE | optimized geometry

```
data_Mg2CuH6Os
_chemical_formula_sum 'Mg12 Cu6 H36 Os6'
_cell_length_a 4.7315
_cell_length_b 4.7315
_cell_length_c 28.3322
_cell_angle_alpha 90.00
_cell_angle_beta 90.00
_cell_angle_gamma 120.00
_symmetry_space_group_name_H-M 'R -3 m'
_symmetry_Int_Tables_number 166
_symmetry_space_group_name_Hall '-R 3 2"'
loop_
_atom_site_label
_atom_site_type_symbol
_atom_site_fract_x
_atom_site_fract_y
_atom_site_fract_z
Mg1 Mg 0.0000 0.0000 0.1349
Mg2 Mg 0.0000 0.0000 0.3024
Cu1 Cu 0.0000 0.0000 0.4086
H1 H 0.0017 0.5009 0.8708
H2 H 0.0087 0.5044 0.7062
Os1 Os 0.0000 0.0000 0.0000
Os2 Os 0.0000 0.0000 0.5000
```

The calculation puts the total DFT energy (no corrections) at -3.929 eV/atom.

(2)
Mg2CuHPb | GGA-PBE | optimized geometry

```
data_Mg2CuHPb
_chemical_formula_sum 'Mg2 Cu1 H1 Pb1'
_cell_length_a 4.628
_cell_length_b 4.628
_cell_length_c 3.898
_cell_angle_alpha 90.00
_cell_angle_beta 90.00
_cell_angle_gamma 90.00
_symmetry_space_group_name_H-M 'P 4/m m m'
_symmetry_Int_Tables_number 123
_symmetry_space_group_name_Hall '-P 4 2'
loop_
_atom_site_label
_atom_site_type_symbol
_atom_site_fract_x
_atom_site_fract_y
_atom_site_fract_z
Mg1 Mg 0.000 0.500 0.000
Cu1 Cu 0.000 0.000 0.500
H1 H 0.000 0.000 0.000
Pb1 Pb 0.500 0.500 0.500
```

The calculation puts the total DFT energy (no corrections) at -2.806 eV/atom.